# La5Sm2Ho2

A geometry-optimized La5Sm2Ho2 structure (PBE-GGA, the Alexandria database).

Structure (CIF):
```
data_La5Sm2Ho2
_cell_length_a 11.8326
_cell_length_b 6.9836
_cell_length_c 10.1873
_cell_angle_alpha 110.05
_cell_angle_beta 125.50
_cell_angle_gamma 90.00
_symmetry_space_group_name_H-M 'P 1'
_symmetry_Int_Tables_number 1
loop_
_symmetry_equiv_pos_as_xyz
'x,y,z'
loop_
_atom_site_label
_atom_site_fract_x
_atom_site_fract_y
_atom_site_fract_z
La1 0.5809 0.2335 0.7109
La2 0.4191 0.5227 0.2891
La3 0.1789 0.6675 0.8993
La4 0.9963 0.6414 0.5000
La5 0.3701 0.0227 0.2891
La6 0.6299 0.7335 0.7109
La7 0.7796 0.2682 0.1007
La8 0.0037 0.1414 0.5000
La9 0.2204 0.1675 0.8993
La10 0.8211 0.7682 0.1007
Sm1 0.5000 0.5740 0.0000
Sm2 0.7456 0.8498 0.5000
Sm3 0.2544 0.3498 0.5000
Sm4 0.0000 0.0740 0.0000
Ho1 0.3782 0.9104 0.7419
Ho2 0.6218 0.1685 0.2581
Ho3 0.8637 0.4104 0.7419
Ho4 0.1363 0.6685 0.2581
```

Summary:
ρ ... 7.08 g cm⁻³
Size of the total moment ... 0.00 μB/f.u.
DOS at the Fermi energy ... 23.8 states/eV/cell
Formation enthalpy at 0 K ... 0.19 eV per atom
VASP energy ... -83.0 eV/cell